(1)
! Dy8ScBi6 (PBE-GGA, optimized geometry); values from VASP
! Energy relative to the elements, eV per atom: -0.35
&SYSTEM
  ibrav = 0, nat = 15, ntyp = 3
/
ATOMIC_SPECIES
Dy 162.50 Dy.upf
Bi 208.98 Bi.upf
Sc 44.96 Sc.upf
ATOMIC_POSITIONS angstrom
Dy 3.275 1.199 2.931
Dy 1.023 9.460 2.504
Dy 1.023 3.138 0.427
Dy 3.275 -3.761 7.368
Dy 3.271 5.699 3.290
Dy 3.275 2.562 9.445
Dy 1.026 0.000 6.581
Dy 1.023 4.500 6.941
Bi 1.118 3.385 3.569
Bi 3.179 2.314 6.302
Bi 3.179 -1.398 4.717
Bi 1.118 6.615 1.147
Bi 3.179 -0.915 8.724
Bi 1.118 7.098 5.155
Sc 2.149 0.000 0.000
CELL_PARAMETERS angstrom
4.298 0.000 0.000
0.000 11.399 0.000
0.000 -5.699 9.871

(2)
! Dy4ScBi5 (PBE-GGA, optimized geometry); values from VASP
! Energy relative to the elements, eV per atom: -0.81
&SYSTEM
  ibrav = 0, nat = 10, ntyp = 3
/
ATOMIC_SPECIES
Dy 162.50 Dy.upf
Bi 208.98 Bi.upf
Sc 44.96 Sc.upf
ATOMIC_POSITIONS angstrom
Dy 5.044 4.227 4.029
Dy 1.626 1.438 3.879
Dy 6.664 5.576 7.907
Dy 3.246 2.787 7.756
Bi 3.812 5.659 6.584
Bi 4.479 1.355 5.202
Bi 6.042 2.739 9.197
Bi 2.840 0.000 1.370
Bi 2.248 4.274 2.589
Sc 0.008 0.000 0.004
CELL_PARAMETERS angstrom
5.663 0.000 2.732
2.832 7.014 1.366
-0.215 0.000 7.683

(3)
! Dy3ScBi2 (PBE-GGA, optimized geometry); values from VASP
! Energy relative to the elements, eV per atom: -0.38
&SYSTEM
  ibrav = 0, nat = 12, ntyp = 3
/
ATOMIC_SPECIES
Dy 162.50 Dy.upf
Sc 44.96 Sc.upf
Bi 208.98 Bi.upf
ATOMIC_POSITIONS angstrom
Dy 2.146 1.825 0.300
Dy 2.146 2.830 8.384
Dy 6.437 8.990 10.877
Dy 6.437 8.596 7.319
Dy 6.437 7.985 2.793
Dy 2.146 2.219 3.858
Sc 4.291 5.112 3.753
Sc 4.291 5.703 7.424
Bi 2.146 4.804 1.809
Bi 6.437 6.011 9.368
Bi 4.291 3.154 5.981
Bi 4.291 7.661 5.196
CELL_PARAMETERS angstrom
4.291 0.000 0.000
2.146 8.416 0.468
2.146 2.400 10.709